PrSm4Sc4: relaxed, PBE.

Energy of formation from the pure elements = 0.06 eV per atom
Raw total energy = -5.382 eV/atom
V = 266 Å³/cell
D(E_F) = 1.456 states/eV/atom

Unit cell a=7.778 b=7.778 c=7.778 alpha=95.63 beta=95.63 gamma=143.49
Atoms (fractional coordinates):
Pr: 0.000 0.000 0.000
Sm: 0.000 0.328 0.328
Sm: 0.000 0.672 0.672
Sm: 0.328 0.000 0.328
Sm: 0.672 0.000 0.672
Sc: 0.332 0.332 0.664
Sc: 0.332 0.668 0.000
Sc: 0.668 0.332 0.000
Sc: 0.668 0.668 0.336